[1]
The following is a DFT calculation (GGA-PBE) of LiAsCl2 after structural relaxation.

space group	I-4m2
N(E_F)	0.59	states/eV/atom
polymorph energy (0 for the lowest one)	0.360	eV/atom
uncorrected energy	-3.084	eV per atom
raw formation energy	-0.52	eV/atom
total magnetization	0.1647	μB/atom
volume	109.09	Å³/cell

abc: 8.4716 8.4716 8.4716
angles: 154.92 154.92 35.76
Each line ends with the local moment (μB).
Atoms (fractional coordinates):
As (0.7500, 0.2500, 0.5000)  0.28
Li (0.5000, 0.5000, 0.0000)  0.00
Cl (0.0000, 0.0000, 0.0000)  0.01
Cl (0.2500, 0.7500, 0.5000)  0.04


[2]
The following is a DFT calculation (GGA-PBE) of ZrHgBr4 after structural relaxation.

space group	F-43m
N(E_F)	1.61	states/eV/atom
polymorph energy (0 for the lowest one)	1.607	eV/atom
uncorrected energy	-2.109	eV per atom
raw formation energy	0.48	eV/atom
total magnetization	0.2627	μB/atom
volume	169.34	Å³/cell

abc: 6.2099 6.2099 6.2099
angles: 60.00 60.00 60.00
Each line ends with the local moment (μB).
Atoms (fractional coordinates):
Br (0.8775, 0.3742, 0.3742)  0.04
Br (0.3742, 0.8775, 0.3742)  0.04
Br (0.3742, 0.3742, 0.8775)  0.04
Br (0.3742, 0.3742, 0.3742)  0.04
Hg (0.7500, 0.7500, 0.7500)  0.02
Zr (0.0000, 0.0000, 0.0000)  -1.24


[3]
The following is a DFT calculation (GGA-PBE) of La8Er6Cd after structural relaxation.

space group	P-3
N(E_F)	1.40	states/eV/atom
uncorrected energy	-4.418	eV per atom
E_form	1.45	eV/f.u.
total magnetization	0.0000	μB/atom
volume	503.61	Å³/cell

abc: 6.6512 9.3504 9.3504
angles: 120.00 90.00 90.00
Atoms (fractional coordinates):
La (0.8254, 0.7192, 0.7675)
La (0.8254, 0.0483, 0.2808)
La (0.1746, 0.2808, 0.2325)
La (0.8254, 0.2325, 0.9517)
La (0.1746, 0.9517, 0.7192)
La (0.1333, 0.6667, 0.3333)
La (0.8667, 0.3333, 0.6667)
La (0.1746, 0.7675, 0.0483)
Er (0.6561, 0.6552, 0.1020)
Er (0.3439, 0.3448, 0.8980)
Er (0.6561, 0.8980, 0.5532)
Er (0.6561, 0.4468, 0.3448)
Er (0.3439, 0.1020, 0.4468)
Er (0.3439, 0.5532, 0.6552)
Cd (0.5000, 0.0000, 0.0000)


[4]
The following is a DFT calculation (GGA-PBE) of RbIn2AgSn after structural relaxation.

space group	P4/mmm
N(E_F)	1.03	states/eV/atom
uncorrected energy	-2.519	eV per atom
E_form	0.71	eV/f.u.
total magnetization	0.0000	μB/atom
volume	170.88	Å³/cell

abc: 5.5386 5.5703 5.5386
angles: 90.00 90.00 90.00
Atoms (fractional coordinates):
Rb (0.5000, 0.5000, 0.5000)
Sn (0.0000, 0.5000, 0.0000)
In (0.5000, 0.0000, 0.0000)
In (0.0000, 0.0000, 0.5000)
Ag (0.0000, 0.0000, 0.0000)


[5]
The following is a DFT calculation (GGA-PBE) of Sc2S2Cl after structural relaxation.

space group	I4/mmm
N(E_F)	0.35	states/eV/atom
polymorph energy (0 for the lowest one)	0.000	eV/atom
uncorrected energy	-6.507	eV per atom
raw formation energy	-1.95	eV/atom
total magnetization	0.0000	μB/atom
volume	103.72	Å³/cell

abc: 3.6722 3.6722 8.1181
angles: 103.07 103.07 90.00
Atoms (fractional coordinates):
Sc (0.8379, 0.8379, 0.6757)
Sc (0.1621, 0.1621, 0.3243)
Cl (0.0000, 0.0000, 0.0000)
S (0.6670, 0.6670, 0.3340)
S (0.3330, 0.3330, 0.6660)


[6]
The following is a DFT calculation (GGA-PBE) of GaNi4P2 after structural relaxation.

space group	P1
N(E_F)	0.50	states/eV/atom
uncorrected energy	-5.669	eV per atom
E_form	-2.71	eV/f.u.
total magnetization	0.0000	μB/atom
volume	185.06	Å³/cell

abc: 5.7180 7.3851 6.4015
angles: 125.14 116.47 90.14
Atoms (fractional coordinates):
Ni (0.7574, 0.0736, 0.1467)
Ni (0.9938, 0.5367, 0.6714)
Ni (0.8606, 0.6768, 0.3526)
Ni (0.5689, 0.2141, 0.8291)
Ni (0.3419, 0.5418, 0.0847)
Ni (0.5696, 0.6147, 0.8288)
Ni (0.9905, 0.1351, 0.6709)
Ni (0.5092, 0.2082, 0.4170)
P (0.5824, 0.3758, 0.2513)
P (0.2062, 0.2692, 0.5392)
P (0.5807, 0.8746, 0.2494)
P (0.9158, 0.4798, 0.9591)
Ga (0.3589, 0.7970, 0.5945)
Ga (0.0142, 0.9527, 0.9054)